1.
# ZrMnNi, relaxed, DFT PBE-GGA
# Raw total energy ... -7.938 eV/atom
# Energy of formation from the pure elements ... -10 kJ/mol of atoms
# Calculated volume ... 15.6 Å³/atom
data_ZrMnNi
_cell_length_a 3.192
_cell_length_b 3.192
_cell_length_c 9.205
_cell_angle_alpha 90.00
_cell_angle_beta 90.00
_cell_angle_gamma 90.00
_space_group_name_H-M_alt 'I 4 m m'
_space_group_IT_number 107
_space_group_name_Hall 'I 4 -2'
loop_
_atom_site_label
_atom_site_fract_x
_atom_site_fract_y
_atom_site_fract_z
Zr1 0.000 0.000 0.000
Mn1 0.000 0.000 0.685
Ni1 0.000 0.000 0.328

***

2.
# KInOs2, relaxed, DFT PBE-GGA
# Raw total energy ... -5.248 eV/atom
# Energy of formation from the pure elements ... 128 kJ/mol of atoms
# Calculated volume ... 18.7 Å³/atom
data_KInOs2
_cell_length_a 2.834
_cell_length_b 5.074
_cell_length_c 5.192
_cell_angle_alpha 90.00
_cell_angle_beta 90.00
_cell_angle_gamma 90.00
_space_group_name_H-M_alt 'P m m m'
_space_group_IT_number 47
loop_
_space_group_symop_operation_xyz
'x,y,z'
'-x,-y,-z'
'-x,-y,z'
'x,y,-z'
'x,-y,-z'
'-x,y,z'
'-x,y,-z'
'x,-y,z'
loop_
_atom_site_label
_atom_site_fract_x
_atom_site_fract_y
_atom_site_fract_z
K1 0.000 0.000 0.000
In1 0.500 0.500 0.000
Os1 0.000 0.500 0.500
Os2 0.500 0.000 0.500

***

3.
# AcCd2Ir, relaxed, DFT PBE-GGA
# Raw total energy ... -4.068 eV/atom
# Energy of formation from the pure elements ... -36 kJ/mol of atoms
# Calculated volume ... 24.6 Å³/atom
data_AcCd2Ir
_cell_length_a 4.326
_cell_length_b 10.387
_cell_length_c 8.760
_cell_angle_alpha 90.00
_cell_angle_beta 90.00
_cell_angle_gamma 90.00
_space_group_name_H-M_alt 'C m c m'
_space_group_IT_number 63
_space_group_name_Hall '-C 2c 2'
loop_
_atom_site_label
_atom_site_fract_x
_atom_site_fract_y
_atom_site_fract_z
Ac1 0.000 0.065 0.250
Cd1 0.000 0.351 0.048
Ir1 0.000 0.222 0.750

***

4.
# ReB3Mo, relaxed, DFT PBE-GGA
# Offset from the most stable computed form ... 1373 meV per atom
# Raw total energy ... -7.378 eV/atom
# Energy of formation from the pure elements ... 124 kJ/mol of atoms
# Calculated volume ... 12.7 Å³/atom
data_ReB3Mo
_cell_length_a 3.992
_cell_length_b 3.992
_cell_length_c 3.992
_cell_angle_alpha 90.00
_cell_angle_beta 90.00
_cell_angle_gamma 90.00
_space_group_name_H-M_alt 'P m -3 m'
_space_group_IT_number 221
_space_group_name_Hall '-P 4 2 3'
loop_
_atom_site_label
_atom_site_fract_x
_atom_site_fract_y
_atom_site_fract_z
Re1 0.000 0.000 0.000
B1 0.000 0.000 0.500
Mo1 0.500 0.500 0.500

***

5.
# Pr2ErIn4, relaxed, DFT PBE-GGA
# Offset from the most stable computed form ... 427 meV per atom
# Raw total energy ... -3.480 eV/atom
# Energy of formation from the pure elements ... 10 kJ/mol of atoms
# Calculated volume ... 36.2 Å³/atom
data_Pr2ErIn4
_cell_length_a 5.578
_cell_length_b 5.578
_cell_length_c 16.298
_cell_angle_alpha 90.00
_cell_angle_beta 90.00
_cell_angle_gamma 90.00
_space_group_name_H-M_alt 'I 4/m m m'
_space_group_IT_number 139
_space_group_name_Hall '-I 4 2'
loop_
_atom_site_label
_atom_site_fract_x
_atom_site_fract_y
_atom_site_fract_z
Pr1 0.000 0.000 0.115
Er1 0.000 0.000 0.500
In1 0.000 0.000 0.315
In2 0.000 0.500 0.000

***

6.
# Th4PbCS2, relaxed, DFT PBE-GGA
# E_form (uncorrected) ... -0.753 eV/atom
# Raw total energy ... -7.111 eV/atom
# Calculated volume ... 27.5 Å³/atom
data_Th4PbCS2
_cell_length_a 7.180
_cell_length_b 7.642
_cell_length_c 8.025
_cell_angle_alpha 90.00
_cell_angle_beta 90.00
_cell_angle_gamma 90.00
_space_group_name_H-M_alt 'I 2 2 2'
_space_group_IT_number 23
loop_
_space_group_symop_operation_xyz
'x,y,z'
'-x,-y,z'
'x,-y,-z'
'-x,y,-z'
'x+1/2,y+1/2,z+1/2'
'-x+1/2,-y+1/2,z+1/2'
'x+1/2,-y+1/2,-z+1/2'
'-x+1/2,y+1/2,-z+1/2'
loop_
_atom_site_label
_atom_site_fract_x
_atom_site_fract_y
_atom_site_fract_z
Th1 0.179 0.205 0.341
Pb1 0.000 0.000 0.000
C1 0.000 0.000 0.500
S1 0.000 0.500 0.211

***

Spin magnetization, respectively: 6.7, 0.9, 0.0, 0.0, 1.6, 0.0 μB/cell.